Here is Nd3CoI2 after structural relaxation from Alexandria via LeMat-Bulk. Energies are from PBE.

Output
Total magnetization: 0.4 μB per formula unit
E: -28.586 eV for the cell shown
Formation energy without anion corrections: -65.5 kJ per mole of atoms

```
Nd3CoI2
1.0
-1.096 -2.080 -3.177
-2.203 -4.474 3.688
-5.106 6.685 -0.157
Nd I Co
3 2 1
direct
0.000 0.000 0.000
0.617 0.617 0.234
0.383 0.383 0.766
0.317 0.817 0.634
0.683 0.183 0.366
0.000 0.500 0.000
```